(a)
The following is a PBE calculation of a relaxed Al2Co2Sb crystal, from Alexandria.

abc: 7.2835 7.2835 2.8092
angles: 90.00 90.00 90.00
With the nearest neighbours (Å) after each atom.
Space group P4/mbm (No. 127)
One atom of each set of equivalent atoms:
Al: 0.1293 0.3707 0.0000 (multiplicity 4)  6 Co 2.54-2.59, 3 Al 2.66-2.81
Co: 0.1594 0.6594 0.5000 (multiplicity 4)  6 Al 2.54-2.59, 2 Co 2.81
Sb: 0.0000 0.0000 0.0000 (multiplicity 2)  2 Sb 2.81, 4 Al 2.86, 8 Co 3.08

* V: 14.9 Å³ per atom

***

(b)
The following is a PBE calculation of a relaxed Al2Co2Sb crystal, from Alexandria.

abc: 7.0815 7.0815 2.8849
angles: 90.00 90.00 90.00
With the nearest neighbours (Å) after each atom.
Space group P4/mbm (No. 127)
One atom of each set of equivalent atoms:
Al: 0.1375 0.3625 0.0000 (multiplicity 4)  6 Co 2.52-2.54, 1 Al 2.75
Co: 0.1538 0.6538 0.5000 (multiplicity 4)  6 Al 2.52-2.54, 2 Sb 2.68
Sb: 0.0000 0.0000 0.5000 (multiplicity 2)  4 Co 2.68, 2 Sb 2.88

* V: 14.5 Å³ per atom

***

(c)
The following is a PBE calculation of a relaxed Al2Co2Sb crystal, from Alexandria.

abc: 3.9746 3.9746 10.3042
angles: 90.00 90.00 90.00
With the nearest neighbours (Å) after each atom.
Space group I4/mmm (No. 139)
One atom of each set of equivalent atoms:
Al: 0.0000 0.0000 0.1290 (multiplicity 4)  4 Co 2.35
Co: 0.0000 0.5000 0.2500 (multiplicity 4)  4 Al 2.35
Sb: 0.0000 0.0000 0.5000 (multiplicity 2)  8 Al 3.11, 8 Co 3.25

* V: 16.3 Å³ per atom

***

List of relative energies, unit eV/atom: (a) 0.145; (b) 0.000; (c) 0.351

***

(a)
The following is a PBE calculation of a relaxed Sc4AlCo crystal, from Alexandria.

abc: 12.4197 12.4197 12.4197
angles: 90.00 90.00 90.00
With the nearest neighbours (Å) after each atom.
Space group F-43m (No. 216)
One atom of each set of equivalent atoms:
Sc: 0.0000 0.0000 0.1890 (multiplicity 24)  2 Al 2.99, 10 Sc 3.15-3.32, 2 Co 3.16
Sc: 0.0575 0.2500 0.2500 (multiplicity 24)  2 Co 2.56
Sc: 0.1005 0.1005 0.6005 (multiplicity 16)  3 Co 2.60
Al: 0.1698 0.1698 0.8302 (multiplicity 16)  3 Al 2.82, 6 Sc 2.99-3.10
Co: 0.1088 0.1088 0.3912 (multiplicity 16)  6 Sc 2.56-2.60

* V: 20.0 Å³ per atom

***

(b)
The following is a PBE calculation of a relaxed Sc4AlCo crystal, from Alexandria.

abc: 7.9071 7.9071 7.9071
angles: 90.00 90.00 90.00
With the nearest neighbours (Å) after each atom.
Space group F-43m (No. 216)
One atom of each set of equivalent atoms:
Sc: 0.1254 0.1254 0.1254 (multiplicity 16)  6 Sc 2.79-2.80
Al: 0.2500 0.2500 0.7500 (multiplicity 4)  12 Sc 3.28, 4 Co 3.42
Co: 0.0000 0.0000 0.5000 (multiplicity 4)  12 Sc 3.28, 4 Al 3.42

* V: 20.6 Å³ per atom

***

List of relative energies, unit eV/atom: (a) 0.000; (b) 0.806

***

(a)
The following is a PBE calculation of a relaxed Sc2Al2Co crystal, from Alexandria.

abc: 3.4900 3.4900 15.8774
angles: 90.00 90.00 90.00
With the nearest neighbours (Å) after each atom.
Space group I4/mmm (No. 139)
One atom of each set of equivalent atoms:
Sc: 0.0000 0.0000 0.0918 (multiplicity 4)  4 Co 2.87, 1 Sc 2.91, 4 Al 3.06
Al: 0.0000 0.5000 0.2500 (multiplicity 4)  4 Al 2.47
Co: 0.0000 0.0000 0.5000 (multiplicity 2)  8 Sc 2.87

* V: 19.3 Å³ per atom

***

(b)
The following is a PBE calculation of a relaxed Sc2Al2Co crystal, from Alexandria.

abc: 6.5244 6.5244 4.2309
angles: 90.00 90.00 90.00
With the nearest neighbours (Å) after each atom.
Space group P4/mbm (No. 127)
One atom of each set of equivalent atoms:
Sc: 0.1697 0.3303 0.0000 (multiplicity 4)  6 Al 2.74-2.94
Al: 0.1410 0.6410 0.5000 (multiplicity 4)  2 Co 2.52, 1 Al 2.60, 2 Sc 2.74
Co: 0.0000 0.0000 0.5000 (multiplicity 2)  4 Al 2.52

* V: 18.0 Å³ per atom

***

List of relative energies, unit eV/atom: (a) 0.385; (b) 0.000

***

(a)
The following is a PBE calculation of a relaxed AlCoSe crystal, from Alexandria.

abc: 4.0055 4.0055 3.2850
angles: 90.00 90.00 120.00
With the nearest neighbours (Å) after each atom.
Space group P3m1 (No. 156)
One atom of each set of equivalent atoms:
Al: 0.0000 0.0000 0.0000 (multiplicity 1)  6 Co 2.83-2.84, 6 Se 2.84
Co: 0.3333 0.6667 0.5019 (multiplicity 1)  3 Se 2.31
Se: 0.6667 0.3333 0.5005 (multiplicity 1)  3 Co 2.31

* V: 15.2 Å³ per atom

***

(b)
The following is a PBE calculation of a relaxed AlCoSe crystal, from Alexandria.

abc: 2.8507 19.4680 4.2332
angles: 90.00 90.00 90.00
With the nearest neighbours (Å) after each atom.
Space group Cmcm (No. 63)
One atom of each set of equivalent atoms:
Al: 0.0000 0.0926 0.2500 (multiplicity 4)  4 Co 2.53, 2 Se 2.59
Co: 0.0000 0.5000 0.0000 (multiplicity 4)  2 Co 2.12
Se: 0.0000 0.1693 0.7500 (multiplicity 4)  2 Al 2.59, 2 Se 2.85

* V: 19.6 Å³ per atom

***

(c)
The following is a PBE calculation of a relaxed AlCoSe crystal, from Alexandria.

abc: 3.1863 3.1863 5.3296
angles: 90.00 90.00 120.00
With the nearest neighbours (Å) after each atom.
Space group P3m1 (No. 156)
One atom of each set of equivalent atoms:
Al: 0.0000 0.0000 0.0000 (multiplicity 1)  3 Co 2.49
Co: 0.3333 0.6667 0.3145 (multiplicity 1)  3 Se 2.38, 3 Al 2.49
Se: 0.6667 0.3333 0.5973 (multiplicity 1)  3 Co 2.38

* V: 15.6 Å³ per atom

***

List of relative energies, unit eV/atom: (a) 0.132; (b) 0.119; (c) 0.000

***

(a)
The following is a PBE calculation of a relaxed AlCoSe crystal, from Alexandria.

abc: 5.9046 5.9046 5.9046
angles: 90.00 90.00 90.00
With the nearest neighbours (Å) after each atom.
Space group F-43m (No. 216)
One atom of each set of equivalent atoms:
Al: 0.0000 0.0000 0.0000 (multiplicity 4)  4 Se 2.56, 4 Co 2.56
Co: 0.2500 0.2500 0.7500 (multiplicity 4)  4 Al 2.56
Se: 0.2500 0.2500 0.2500 (multiplicity 4)  4 Al 2.56

* V: 17.2 Å³ per atom

***

(b)
The following is a PBE calculation of a relaxed AlCoSe crystal, from Alexandria.

abc: 5.6920 5.6920 5.6920
angles: 90.00 90.00 90.00
With the nearest neighbours (Å) after each atom.
Space group F-43m (No. 216)
One atom of each set of equivalent atoms:
Al: 0.0000 0.0000 0.0000 (multiplicity 4)  4 Co 2.46
Co: 0.2500 0.2500 0.7500 (multiplicity 4)  4 Al 2.46, 4 Se 2.46
Se: 0.0000 0.0000 0.5000 (multiplicity 4)  4 Co 2.46

* V: 15.4 Å³ per atom

***

(c)
The following is a PBE calculation of a relaxed AlCoSe crystal, from Alexandria.

abc: 2.9232 2.9232 10.8614
angles: 90.00 90.00 90.00
With the nearest neighbours (Å) after each atom.
Space group I4mm (No. 107)
One atom of each set of equivalent atoms:
Al: 0.0000 0.0000 0.0000 (multiplicity 2)  4 Co 2.53
Co: 0.0000 0.0000 0.3654 (multiplicity 2)  4 Se 2.52, 4 Al 2.53
Se: 0.0000 0.0000 0.7327 (multiplicity 2)  4 Co 2.52

* V: 15.5 Å³ per atom

***

List of relative energies, unit eV/atom: (a) 0.534; (b) 0.000; (c) 0.238

***

(a)
The following is a PBE calculation of a relaxed Al2Co2Si crystal, from Alexandria.

abc: 3.8975 3.8975 4.9419
angles: 90.00 90.00 120.00
With the nearest neighbours (Å) after each atom.
Space group P-3m1 (No. 164)
One atom of each set of equivalent atoms:
Al: 0.3333 0.6667 0.3566 (multiplicity 2)  5 Co 2.45-2.49, 3 Al 2.66
Co: 0.3333 0.6667 0.8613 (multiplicity 2)  3 Si 2.35, 5 Al 2.45-2.49
Si: 0.0000 0.0000 0.0000 (multiplicity 1)  6 Co 2.35

* V: 13.0 Å³ per atom

***

(b)
The following is a PBE calculation of a relaxed Al2Co2Si crystal, from Alexandria.

abc: 5.8614 5.8614 3.7319
angles: 90.00 90.00 90.00
With the nearest neighbours (Å) after each atom.
Space group P4/mbm (No. 127)
One atom of each set of equivalent atoms:
Al: 0.1591 0.3409 0.0000 (multiplicity 4)  6 Co 2.44-2.60, 1 Al 2.64
Co: 0.1508 0.6508 0.5000 (multiplicity 4)  2 Si 2.23, 2 Al 2.44
Si: 0.0000 0.0000 0.5000 (multiplicity 2)  4 Co 2.23

* V: 12.8 Å³ per atom

***

List of relative energies, unit eV/atom: (a) 0.000; (b) 0.148

***

(a)
The following is a PBE calculation of a relaxed AlCo3Si crystal, from Alexandria.

abc: 4.1718 4.1718 4.1718
angles: 90.00 90.00 90.00
With the nearest neighbours (Å) after each atom.
Space group Pm-3m (No. 221)
One atom of each set of equivalent atoms:
Al: 0.0000 0.0000 0.0000 (multiplicity 1)  6 Co 2.09
Co: 0.0000 0.0000 0.5000 (multiplicity 3)  2 Al 2.09
Si: 0.5000 0.5000 0.5000 (multiplicity 1)  12 Co 2.95

* V: 14.5 Å³ per atom

***

(b)
The following is a PBE calculation of a relaxed AlCo3Si crystal, from Alexandria.

abc: 4.1167 4.1167 4.1167
angles: 90.00 90.00 90.00
With the nearest neighbours (Å) after each atom.
Space group Pm-3m (No. 221)
One atom of each set of equivalent atoms:
Al: 0.0000 0.0000 0.0000 (multiplicity 1)  12 Co 2.91
Co: 0.0000 0.5000 0.5000 (multiplicity 3)  2 Si 2.06
Si: 0.5000 0.5000 0.5000 (multiplicity 1)  6 Co 2.06

* V: 14.0 Å³ per atom

***

List of relative energies, unit eV/atom: (a) 0.661; (b) 0.000

***

(a)
The following is a PBE calculation of a relaxed Sm4AlCo2 crystal, from Alexandria.

abc: 4.8746 4.8746 25.3642
angles: 90.00 90.00 120.00
With the nearest neighbours (Å) after each atom.
Space group R-3m (No. 166, hexagonal axes)
One atom of each set of equivalent atoms:
Sm: 0.0000 0.0000 0.1145 (multiplicity 6)  3 Co 3.00, 3 Al 3.11
Sm: 0.0000 0.0000 0.2948 (multiplicity 6)  4 Co 2.85-2.95
Al: 0.0000 0.0000 0.5000 (multiplicity 3)  2 Co 2.35
Co: 0.0000 0.0000 0.4072 (multiplicity 6)  1 Al 2.35

* V: 24.9 Å³ per atom

***

(b)
The following is a PBE calculation of a relaxed Sm4AlCo2 crystal, from Alexandria.

abc: 5.3788 12.6535 5.6138
angles: 90.00 110.71 90.00
With the nearest neighbours (Å) after each atom.
Space group P2_1/m (No. 11)
One atom of each set of equivalent atoms:
Sm: 0.0000 0.0000 0.0000 (multiplicity 2)  2 Co 2.73
Sm: 0.3248 0.2500 0.7936 (multiplicity 2)  2 Co 2.71
Sm: 0.3782 0.6107 0.6125 (multiplicity 4)  3 Co 2.70-2.81
Al: 0.0341 0.2500 0.2066 (multiplicity 2)  2 Co 2.56
Co: 0.1455 0.0822 0.4792 (multiplicity 4)  1 Al 2.56, 1 Co 2.66, 5 Sm 2.70-2.81

* V: 25.5 Å³ per atom

***

List of relative energies, unit eV/atom: (a) 0.000; (b) 0.009

***

(a)
The following is a PBE calculation of a relaxed SmAl3Co crystal, from Alexandria.

abc: 8.2371 4.0710 10.7590
angles: 90.00 90.00 90.00
With the nearest neighbours (Å) after each atom.
Space group Pnma (No. 62)
One atom of each set of equivalent atoms:
Sm: 0.1893 0.2500 0.0104 (multiplicity 4)  10 Al 3.06-3.38, 2 Co 3.09
Al: 0.0496 0.2500 0.5810 (multiplicity 4)  3 Co 2.47-2.53, 1 Al 2.63
Al: 0.1127 0.7500 0.7775 (multiplicity 4)  2 Co 2.36-2.41
Al: 0.1467 0.7500 0.2260 (multiplicity 4)  2 Co 2.49, 1 Al 2.63
Co: 0.1136 0.2500 0.3564 (multiplicity 4)  7 Al 2.36-2.53

* V: 18.0 Å³ per atom

***

(b)
The following is a PBE calculation of a relaxed SmAl3Co crystal, from Alexandria.

abc: 4.5342 4.5342 4.5342
angles: 90.00 90.00 90.00
With the nearest neighbours (Å) after each atom.
Space group Pm-3m (No. 221)
One atom of each set of equivalent atoms:
Sm: 0.0000 0.0000 0.0000 (multiplicity 1)  12 Al 3.21
Al: 0.0000 0.5000 0.5000 (multiplicity 3)  2 Co 2.27
Co: 0.5000 0.5000 0.5000 (multiplicity 1)  6 Al 2.27

* V: 18.6 Å³ per atom

***

List of relative energies, unit eV/atom: (a) 0.000; (b) 0.135

***

(a)
The following is a PBE calculation of a relaxed Sm3AlCo crystal, from Alexandria.

abc: 15.6123 3.7926 8.7301
angles: 90.00 91.61 90.00
With the nearest neighbours (Å) after each atom.
Space group Cm (No. 8)
One atom of each set of equivalent atoms:
Sm: 0.0000 0.0000 0.0000 (multiplicity 2)  3 Co 2.89-3.16
Sm: 0.0150 0.5000 0.6011 (multiplicity 2)  3 Co 2.89-3.17
Sm: 0.1539 0.0000 0.3569 (multiplicity 2)  3 Co 2.77-2.78
Sm: 0.2006 0.5000 0.0210 (multiplicity 2)  4 Al 3.17-3.23, 1 Co 3.21
Sm: 0.3144 0.5000 0.5807 (multiplicity 2)  4 Al 3.17-3.24, 1 Co 3.23
Sm: 0.3613 0.0000 0.2449 (multiplicity 2)  3 Co 2.78
Al: 0.1719 0.0000 0.7324 (multiplicity 2)  1 Al 2.90, 4 Sm 3.17-3.24
Al: 0.3431 0.0000 0.8691 (multiplicity 2)  1 Al 2.90, 4 Sm 3.17-3.23
Co: 0.0392 0.5000 0.2417 (multiplicity 2)  2 Co 2.38
Co: 0.4763 0.5000 0.3588 (multiplicity 2)  2 Co 2.38

* V: 25.8 Å³ per atom

***

(b)
The following is a PBE calculation of a relaxed Sm3AlCo crystal, from Alexandria.

abc: 5.1846 5.1846 5.1846
angles: 90.00 90.00 90.00
With the nearest neighbours (Å) after each atom.
Space group Pm-3m (No. 221)
One atom of each set of equivalent atoms:
Sm: 0.0000 0.0000 0.5000 (multiplicity 3)  2 Co 2.59
Al: 0.5000 0.5000 0.5000 (multiplicity 1)  12 Sm 3.67
Co: 0.0000 0.0000 0.0000 (multiplicity 1)  6 Sm 2.59

* V: 27.9 Å³ per atom

***

List of relative energies, unit eV/atom: (a) 0.000; (b) 0.140

***

(a)
The following is a PBE calculation of a relaxed AlCoSn3 crystal, from Alexandria.

abc: 4.9410 4.9410 4.9410
angles: 90.00 90.00 90.00
With the nearest neighbours (Å) after each atom.
Space group Pm-3m (No. 221)
One atom of each set of equivalent atoms:
Al: 0.0000 0.0000 0.0000 (multiplicity 1)  12 Sn 3.49
Co: 0.5000 0.5000 0.5000 (multiplicity 1)  6 Sn 2.47
Sn: 0.0000 0.5000 0.5000 (multiplicity 3)  2 Co 2.47

* V: 24.1 Å³ per atom

***

(b)
The following is a PBE calculation of a relaxed AlCoSn3 crystal, from Alexandria.

abc: 5.2311 5.2311 5.2311
angles: 90.00 90.00 90.00
With the nearest neighbours (Å) after each atom.
Space group Pm-3m (No. 221)
One atom of each set of equivalent atoms:
Al: 0.0000 0.0000 0.0000 (multiplicity 1)  6 Sn 2.62
Co: 0.5000 0.5000 0.5000 (multiplicity 1)  12 Sn 3.70
Sn: 0.0000 0.0000 0.5000 (multiplicity 3)  2 Al 2.62

* V: 28.6 Å³ per atom

***

List of relative energies, unit eV/atom: (a) 0.000; (b) 0.757